Entry 1
Material: Ce2GeCl
Method: DFT, PBE
State: optimized geometry

Unit cell a=5.1145 b=5.1145 c=5.1145 alpha=60.00 beta=60.00 gamma=60.00
Last column: nearest neighbours and their distance in Å.
Positions (direct):
1 Ce 0.2500 0.2500 0.2500  4 Ge 3.13, 4 Cl 3.13
2 Ce 0.7500 0.7500 0.7500  4 Ge 3.13, 4 Cl 3.13
3 Ge 0.0000 0.0000 0.0000  8 Ce 3.13
4 Cl 0.5000 0.5000 0.5000  8 Ce 3.13

Output
Mass density, Mg/m³: 6.82
M_tot, μB/f.u.: 2.42

---

Entry 2
Material: Ce2GeCl
Method: DFT, PBE
State: optimized geometry

Unit cell a=6.9502 b=6.9502 c=6.9502 alpha=35.65 beta=35.65 gamma=35.65
Last column: nearest neighbours and their distance in Å.
Positions (direct):
1 Ce 0.2495 0.2495 0.2495  3 Cl 2.94, 3 Ge 2.95
2 Ce 0.7505 0.7505 0.7505  3 Cl 2.94, 3 Ge 2.95
3 Ge 0.0000 0.0000 0.0000  6 Ce 2.95
4 Cl 0.5000 0.5000 0.5000  6 Ce 2.94

Output
Mass density, Mg/m³: 6.33
M_tot, μB/f.u.: 1.61

---

Entry 3
Material: Ce2GeCl
Method: DFT, PBE
State: optimized geometry

Unit cell a=5.8834 b=5.8834 c=7.2336 alpha=113.99 beta=113.99 gamma=90.00
Last column: nearest neighbours and their distance in Å.
Positions (direct):
1 Ce 0.1241 0.3741 0.2487  3 Ge 2.94-2.95, 3 Cl 2.94-2.97
2 Ce 0.3741 0.1241 0.7487  3 Ge 2.94-2.95, 3 Cl 2.94-2.97
3 Ce 0.6259 0.8759 0.2513  3 Ge 2.94-2.95, 3 Cl 2.94-2.97
4 Ce 0.8759 0.6259 0.7513  3 Ge 2.94-2.95, 3 Cl 2.94-2.97
5 Ge 0.1253 0.8747 0.2500  6 Ce 2.94-2.95
6 Ge 0.8747 0.1253 0.7500  6 Ce 2.94-2.95
7 Cl 0.3752 0.6248 0.7500  6 Ce 2.94-2.97
8 Cl 0.6248 0.3752 0.2500  6 Ce 2.94-2.97

Output
Mass density, Mg/m³: 6.29
M_tot, μB/f.u.: 1.71

---

Entry 4
Material: Ce2GeCl
Method: DFT, PBE
State: optimized geometry

Unit cell a=10.8474 b=4.3887 c=10.8494 alpha=78.30 beta=23.34 gamma=78.36
Last column: nearest neighbours and their distance in Å.
Positions (direct):
1 Ce 0.1558 0.8442 0.1558  4 Cl 2.94-2.95, 1 Ge 3.26
2 Ce 0.5186 0.9852 0.4814  3 Ce 2.90-3.11, 4 Ge 3.02-3.08
3 Ce 0.8442 0.1558 0.8442  4 Cl 2.94-2.95, 1 Ge 3.26
4 Ce 0.9852 0.5186 0.0148  3 Ce 2.90-3.11, 4 Ge 3.02-3.08
5 Ge 0.3917 0.5951 0.4049  8 Ce 3.02-3.34
6 Ge 0.5951 0.3917 0.6083  8 Ce 3.02-3.34
7 Cl 0.2484 0.2484 0.2516  4 Ce 2.94-2.95, 4 Cl 3.10-3.11
8 Cl 0.7484 0.7484 0.7516  4 Ce 2.94-2.95, 4 Cl 3.10-3.11

Output
Mass density, Mg/m³: 6.44
M_tot, μB/f.u.: 1.04

---

Order of stability, best first: entry 3, entry 2, entry 4, entry 1

---

Entry 1
Material: Ce2GeCl
Method: DFT, PBE
State: optimized geometry

Unit cell a=3.5515 b=3.5515 c=7.5747 alpha=90.00 beta=90.00 gamma=90.00
Last column: nearest neighbours and their distance in Å.
Positions (direct):
1 Ce 0.0000 0.0000 0.2350  4 Ge 3.08, 4 Cl 3.22
2 Ce 0.0000 0.0000 0.7650  4 Ge 3.08, 4 Cl 3.22
3 Ge 0.5000 0.5000 0.0000  8 Ce 3.08
4 Cl 0.5000 0.5000 0.5000  8 Ce 3.22, 4 Cl 3.55

Output
Mass density, Mg/m³: 6.75
M_tot, μB/f.u.: 3.06

---

Entry 2
Material: Ce2GeCl
Method: DFT, PBE
State: optimized geometry

Unit cell a=7.7189 b=7.7189 c=7.7189 alpha=30.95 beta=30.95 gamma=30.95
Last column: nearest neighbours and their distance in Å.
Positions (direct):
1 Ce 0.0000 0.0000 0.0000  3 Ge 2.92, 3 Cl 3.15
2 Ce 0.1810 0.1810 0.1810  3 Ge 2.90, 3 Cl 3.06
3 Ge 0.5894 0.5894 0.5894  6 Ce 2.90-2.92
4 Cl 0.7605 0.7605 0.7605  6 Ce 3.06-3.15

Output
Mass density, Mg/m³: 5.98
M_tot, μB/f.u.: 2.10

---

Order of stability, best first: entry 2, entry 1

---

Entry 1
Material: LaCeGeCl
Method: DFT, PBE
State: optimized geometry

Unit cell a=5.1905 b=5.1905 c=5.1905 alpha=60.00 beta=60.00 gamma=60.00
Last column: nearest neighbours and their distance in Å.
Positions (direct):
1 La 0.0000 0.0000 0.0000  4 Ge 3.18, 4 Cl 3.18
2 Ce 0.5000 0.5000 0.5000  4 Ge 3.18, 4 Cl 3.18
3 Ge 0.2500 0.2500 0.2500  4 Ce 3.18, 4 La 3.18
4 Cl 0.7500 0.7500 0.7500  4 Ce 3.18, 4 La 3.18

Output
Mass density, Mg/m³: 6.50
M_tot, μB/f.u.: 1.33

---

Entry 2
Material: LaCeGeCl
Method: DFT, PBE
State: optimized geometry

Unit cell a=5.9630 b=5.2239 c=5.2239 alpha=52.83 beta=90.00 gamma=90.00
Last column: nearest neighbours and their distance in Å.
Positions (direct):
1 La 0.0000 0.0000 0.0000  3 Cl 2.88-2.94, 2 Ge 2.98
2 Ce 0.5000 0.6909 0.6909  3 Ge 2.92, 2 Cl 2.98
3 Ge 0.5000 0.0026 0.0026  3 Ce 2.92, 2 La 2.98
4 Cl 0.0000 0.6918 0.6918  3 La 2.88-2.94, 2 Ce 2.98

Output
Mass density, Mg/m³: 4.96
M_tot, μB/f.u.: 1.09

---

Order of stability, best first: entry 1, entry 2

---

Entry 1
Material: CePmGeCl
Method: DFT, PBE
State: optimized geometry

Unit cell a=5.8233 b=5.1692 c=5.1692 alpha=52.16 beta=90.00 gamma=90.00
Last column: nearest neighbours and their distance in Å.
Positions (direct):
1 Ce 0.0000 0.0000 0.0000  3 Ge 2.87-2.88, 2 Cl 2.91
2 Pm 0.5000 0.3084 0.3084  3 Cl 2.85-2.89, 2 Ge 2.91
3 Ge 0.0000 0.3090 0.3090  3 Ce 2.87-2.88, 2 Pm 2.91
4 Cl 0.5000 0.0016 0.0016  3 Pm 2.85-2.89, 2 Ce 2.91

Output
Mass density, Mg/m³: 5.31
M_tot, μB/f.u.: 1.00

---

Entry 2
Material: CePmGeCl
Method: DFT, PBE
State: optimized geometry

Unit cell a=5.1309 b=5.1309 c=5.1309 alpha=60.00 beta=60.00 gamma=60.00
Last column: nearest neighbours and their distance in Å.
Positions (direct):
1 Ce 0.0000 0.0000 0.0000  4 Ge 3.14, 4 Cl 3.14
2 Pm 0.5000 0.5000 0.5000  4 Cl 3.14, 4 Ge 3.14
3 Ge 0.2500 0.2500 0.2500  4 Pm 3.14, 4 Ce 3.14
4 Cl 0.7500 0.7500 0.7500  4 Pm 3.14, 4 Ce 3.14

Output
Mass density, Mg/m³: 6.84
M_tot, μB/f.u.: 1.37

---

Order of stability, best first: entry 2, entry 1